This record from Alexandria via LeMat-Bulk describes Al2CrNi8 after structural relaxation. The functional is GGA-PBE.

Cell and atoms, written as CIF:
```
data_Al2CrNi8
_cell_length_a 7.262
_cell_length_b 9.645
_cell_length_c 3.756
_cell_angle_alpha 90.00
_cell_angle_beta 90.00
_cell_angle_gamma 90.00
_space_group_name_H-M_alt 'C m m m'
_space_group_IT_number 65
_space_group_name_Hall '-C 2 2'
loop_
_atom_site_label
_atom_site_type_symbol
_atom_site_fract_x
_atom_site_fract_y
_atom_site_fract_z
_atom_site_occupancy
Al1 Al 0.000 0.130 0.000 1
Cr1 Cr 0.000 0.500 0.500 1
Ni1 Ni 0.000 0.260 0.500 1
Ni2 Ni 0.168 0.371 0.000 1
Ni3 Ni 0.170 0.000 0.500 1
```

Energy of formation from the pure elements (meV/atom): -67


This record from Alexandria via LeMat-Bulk describes HgTeMoAs2 after structural relaxation. The functional is GGA-PBE.

Cell and atoms, written as CIF:
```
data_HgTeMoAs2
_cell_length_a 4.804
_cell_length_b 4.804
_cell_length_c 5.710
_cell_angle_alpha 90.00
_cell_angle_beta 90.00
_cell_angle_gamma 90.00
_space_group_name_H-M_alt 'P 4/m m m'
_space_group_IT_number 123
_space_group_name_Hall '-P 4 2'
loop_
_atom_site_label
_atom_site_type_symbol
_atom_site_fract_x
_atom_site_fract_y
_atom_site_fract_z
_atom_site_occupancy
Hg1 Hg 0.000 0.000 0.000 1
Te1 Te 0.500 0.500 0.000 1
Mo1 Mo 0.500 0.500 0.500 1
As1 As 0.000 0.500 0.500 1
```

E_form (uncorrected) (eV/f.u.): 1.6